An optimized crystal structure of Hf3UC4. Source: Alexandria via LeMat-Bulk, functional PBE.

Summary:
Space group: I4/mmm
Excess energy over the best structure of this formula in the dataset (meV/atom): 0

Unit cell a=5.8007 b=5.8007 c=5.8007 alpha=131.79 beta=131.79 gamma=70.57
Last column: nearest neighbours and their distance in Å.
Atoms (fractional coordinates):
Hf: 0.0000 0.0000 0.0000  6 C 2.37-2.42
Hf: 0.2500 0.7500 0.5000  6 C 2.37
Hf: 0.7500 0.2500 0.5000  6 C 2.37
U: 0.5000 0.5000 0.0000  6 C 2.32-2.37
C: 0.0000 0.5000 0.5000  4 Hf 2.37, 2 U 2.37
C: 0.2552 0.2552 0.0000  1 U 2.32, 5 Hf 2.37-2.42
C: 0.5000 0.0000 0.5000  4 Hf 2.37, 2 U 2.37
C: 0.7448 0.7448 0.0000  1 U 2.32, 5 Hf 2.37-2.42

***

An optimized crystal structure of Hf5UC6. Source: Alexandria via LeMat-Bulk, functional PBE.

Summary:
Space group: C2/m

Unit cell a=5.7666 b=5.7666 c=5.7680 alpha=99.58 beta=99.58 gamma=119.97
Last column: nearest neighbours and their distance in Å.
Atoms (fractional coordinates):
Hf: 0.0000 0.0000 0.0000  6 C 2.35-2.38
Hf: 0.1663 0.8337 0.5000  6 C 2.35-2.37
Hf: 0.3322 0.6678 0.0000  6 C 2.34-2.36
Hf: 0.6678 0.3322 0.0000  6 C 2.34-2.36
Hf: 0.8337 0.1663 0.5000  6 C 2.35-2.37
U: 0.5000 0.5000 0.5000  6 C 2.33-2.34
C: 0.0864 0.4165 0.2492  1 U 2.34, 5 Hf 2.34-2.37
C: 0.2526 0.2526 0.7473  1 U 2.33, 5 Hf 2.35-2.38
C: 0.4165 0.0864 0.2492  1 U 2.34, 5 Hf 2.34-2.37
C: 0.5835 0.9136 0.7508  1 U 2.34, 5 Hf 2.34-2.37
C: 0.7474 0.7474 0.2527  1 U 2.33, 5 Hf 2.35-2.38
C: 0.9136 0.5835 0.7508  1 U 2.34, 5 Hf 2.34-2.37

***

An optimized crystal structure of Hf2ZrUC4. Source: Alexandria via LeMat-Bulk, functional PBE.

Summary:
Space group: P2/m

Unit cell a=5.8209 b=3.3504 c=5.8268 alpha=90.00 beta=109.09 gamma=90.00
Last column: nearest neighbours and their distance in Å.
Atoms (fractional coordinates):
Hf: 0.0000 0.0000 0.0000  6 C 2.35-2.36
Hf: 0.0000 0.5000 0.5000  6 C 2.36-2.40
Zr: 0.5000 0.0000 0.5000  6 C 2.39-2.40
U: 0.5000 0.5000 0.0000  6 C 2.34-2.40
C: 0.2440 0.0000 0.7478  3 Hf 2.35-2.36, 1 Zr 2.39, 2 U 2.40
C: 0.2496 0.5000 0.2436  1 U 2.34, 3 Hf 2.36-2.40, 2 Zr 2.40
C: 0.7504 0.5000 0.7564  1 U 2.34, 3 Hf 2.36-2.40, 2 Zr 2.40
C: 0.7560 0.0000 0.2522  3 Hf 2.35-2.36, 1 Zr 2.39, 2 U 2.40

***

Number 1: DFT formation energy -0.7365 eV per atom, magnetization 0.00 μB/f.u.. Number 2: DFT formation energy -0.8216 eV per atom, magnetization 0.00 μB/f.u.. Number 3: DFT formation energy -0.7085 eV per atom, magnetization 0.00 μB/f.u..